[1]
# YCoPb (meta-GGA SCAN, PBEsol geometry)
data_YCoPb
_chemical_formula_sum 'Y4 Co4 Pb4'
_symmetry_space_group_name_H-M 'F -4 3 m'
_symmetry_Int_Tables_number 216
_symmetry_space_group_name_Hall 'F -4 2 3'
_cell_length_a 6.721
_cell_length_b 6.721
_cell_length_c 6.721
_cell_angle_alpha 90.00
_cell_angle_beta 90.00
_cell_angle_gamma 90.00
loop_
_atom_site_label
_atom_site_fract_x
_atom_site_fract_y
_atom_site_fract_z
Y1 0.000 0.000 0.000
Co1 0.250 0.250 0.750
Pb1 0.250 0.250 0.250
# DFT formation energy	0.253	eV per atom
# density of states at the Fermi level	1.83	states/eV/f.u.
# crystal system	cubic

=====

[2]
# NaCaAl2 (meta-GGA SCAN, PBEsol geometry)
data_NaCaAl2
_chemical_formula_sum 'Na4 Ca4 Al8'
_symmetry_space_group_name_H-M 'F m -3 m'
_symmetry_Int_Tables_number 225
_symmetry_space_group_name_Hall '-F 4 2 3'
_cell_length_a 7.217
_cell_length_b 7.217
_cell_length_c 7.217
_cell_angle_alpha 90.00
_cell_angle_beta 90.00
_cell_angle_gamma 90.00
loop_
_atom_site_label
_atom_site_fract_x
_atom_site_fract_y
_atom_site_fract_z
Na1 0.000 0.000 0.000
Ca1 0.000 0.000 0.500
Al1 0.250 0.250 0.250
# DFT formation energy	0.094	eV per atom
# density of states at the Fermi level	1.48	states/eV/f.u.
# crystal system	cubic

=====

[3]
# K2As (meta-GGA SCAN, PBEsol geometry)
data_K2As
_chemical_formula_sum 'K2 As1'
_symmetry_space_group_name_H-M 'P -3 m 1'
_symmetry_Int_Tables_number 164
_symmetry_space_group_name_Hall '-P 3 2"'
_cell_length_a 5.3795
_cell_length_b 5.3795
_cell_length_c 3.3066
_cell_angle_alpha 90.00
_cell_angle_beta 90.00
_cell_angle_gamma 120.00
loop_
_atom_site_label
_atom_site_fract_x
_atom_site_fract_y
_atom_site_fract_z
K1 0.3333 0.6667 0.0050
As1 0.0000 0.0000 0.5000
# DFT formation energy	-0.356	eV per atom
# density of states at the Fermi level	0.74	states/eV/f.u.
# crystal system	trigonal

=====

[4]
# Li3Cr2Co2O8 (meta-GGA SCAN, PBEsol geometry)
data_Li3Cr2Co2O8
_chemical_formula_sum 'Li6 Cr4 Co4 O16'
_symmetry_space_group_name_H-M 'C 1 2/m 1'
_symmetry_Int_Tables_number 12
_symmetry_space_group_name_Hall '-C 2y'
_cell_length_a 9.768
_cell_length_b 5.692
_cell_length_c 5.651
_cell_angle_alpha 90.00
_cell_angle_beta 124.78
_cell_angle_gamma 90.00
loop_
_atom_site_label
_atom_site_fract_x
_atom_site_fract_y
_atom_site_fract_z
Li1 0.000 0.000 0.000
Li2 0.250 0.250 0.500
Cr1 0.000 0.500 0.000
Cr2 0.000 0.500 0.500
Co1 0.250 0.250 0.000
O1 0.010 0.270 0.763
O2 0.238 0.500 0.215
O3 0.243 0.500 0.764
# formation energy (no corrections)	-2.068	eV/atom
# density of states at the Fermi level	7.57	states/eV/f.u.
# crystal system	monoclinic

=====

[5]
# TaCrCl (meta-GGA SCAN, PBEsol geometry)
data_TaCrCl
_chemical_formula_sum 'Ta1 Cr1 Cl1'
_symmetry_space_group_name_H-M 'P 3 m 1'
_symmetry_Int_Tables_number 156
_symmetry_space_group_name_Hall 'P 3 -2"'
_cell_length_a 2.9964
_cell_length_b 2.9964
_cell_length_c 6.2403
_cell_angle_alpha 90.00
_cell_angle_beta 90.00
_cell_angle_gamma 120.00
loop_
_atom_site_label
_atom_site_fract_x
_atom_site_fract_y
_atom_site_fract_z
Ta1 0.0000 0.0000 0.0000
Cr1 0.6667 0.3333 0.3317
Cl1 0.3333 0.6667 0.6840
# excess energy over the best structure of this formula in the dataset	0.00	kcal/mol of atoms
# formation energy (no corrections)	0.002	eV/atom
# density of states at the Fermi level	1.60	states/eV/f.u.
# crystal system	trigonal

=====

[6]
# MnTlOs2 (meta-GGA SCAN, PBEsol geometry)
data_MnTlOs2
_chemical_formula_sum 'Mn2 Tl2 Os4'
_symmetry_space_group_name_H-M 'C m m 2'
_symmetry_Int_Tables_number 35
_symmetry_space_group_name_Hall 'C 2 -2'
_cell_length_a 2.880
_cell_length_b 4.832
_cell_length_c 9.159
_cell_angle_alpha 90.00
_cell_angle_beta 90.00
_cell_angle_gamma 90.00
loop_
_atom_site_label
_atom_site_fract_x
_atom_site_fract_y
_atom_site_fract_z
Mn1 0.000 0.000 0.000
Tl1 0.000 0.500 0.734
Os1 0.000 0.000 0.460
Os2 0.000 0.500 0.222
# excess energy over the best structure of this formula in the dataset	5.61	kcal/mol of atoms
# DFT formation energy	0.733	eV per atom
# density of states at the Fermi level	2.48	states/eV/f.u.
# crystal system	orthorhombic

=====

[7]
# CaPr2Te4 (meta-GGA SCAN, PBEsol geometry)
data_CaPr2Te4
_chemical_formula_sum 'Ca4 Pr8 Te16'
_symmetry_space_group_name_H-M 'I -4 2 d'
_symmetry_Int_Tables_number 122
_symmetry_space_group_name_Hall 'I -4 2bw'
_cell_length_a 9.416
_cell_length_b 9.416
_cell_length_c 9.522
_cell_angle_alpha 90.00
_cell_angle_beta 90.00
_cell_angle_gamma 90.00
loop_
_atom_site_label
_atom_site_fract_x
_atom_site_fract_y
_atom_site_fract_z
Ca1 0.000 0.000 0.000
Pr1 0.125 0.250 0.625
Te1 0.077 0.176 0.300
# formation energy (no corrections)	-1.668	eV/atom
# crystal system	tetragonal

=====

[8]
# K3LiSi4 (meta-GGA SCAN, PBEsol geometry)
data_K3LiSi4
_chemical_formula_sum 'K12 Li4 Si16'
_symmetry_space_group_name_H-M 'P n m a'
_symmetry_Int_Tables_number 62
_symmetry_space_group_name_Hall '-P 2ac 2n'
_cell_length_a 7.554
_cell_length_b 9.612
_cell_length_c 12.161
_cell_angle_alpha 90.00
_cell_angle_beta 90.00
_cell_angle_gamma 90.00
loop_
_atom_site_label
_atom_site_fract_x
_atom_site_fract_y
_atom_site_fract_z
K1 0.156 0.250 0.099
K2 0.157 0.054 0.806
Li1 0.000 0.000 0.500
Si1 0.013 0.250 0.586
Si2 0.137 0.250 0.400
Si3 0.211 0.627 0.049
# formation energy (no corrections)	-0.133	eV/atom
# density of states at the Fermi level	0.00	states/eV/f.u.
# crystal system	orthorhombic

=====

[9]
# Os2RuW (meta-GGA SCAN, PBEsol geometry)
data_Os2RuW
_chemical_formula_sum 'Os4 Ru2 W2'
_symmetry_space_group_name_H-M 'I 4/m m m'
_symmetry_Int_Tables_number 139
_symmetry_space_group_name_Hall '-I 4 2'
_cell_length_a 3.835
_cell_length_b 3.835
_cell_length_c 7.741
_cell_angle_alpha 90.00
_cell_angle_beta 90.00
_cell_angle_gamma 90.00
loop_
_atom_site_label
_atom_site_fract_x
_atom_site_fract_y
_atom_site_fract_z
Os1 0.000 0.500 0.250
Ru1 0.000 0.000 0.000
W1 0.000 0.000 0.500
# excess energy over the best structure of this formula in the dataset	0.93	kcal/mol of atoms
# DFT formation energy	0.021	eV per atom
# density of states at the Fermi level	2.68	states/eV/f.u.
# crystal system	tetragonal

=====

[10]
# MgTa2ZnP (meta-GGA SCAN, PBEsol geometry)
data_MgTa2ZnP
_chemical_formula_sum 'Mg1 Ta2 Zn1 P1'
_symmetry_space_group_name_H-M 'P 4/m m m'
_symmetry_Int_Tables_number 123
_symmetry_space_group_name_Hall '-P 4 2'
_cell_length_a 4.765
_cell_length_b 4.765
_cell_length_c 4.360
_cell_angle_alpha 90.00
_cell_angle_beta 90.00
_cell_angle_gamma 90.00
loop_
_atom_site_label
_atom_site_fract_x
_atom_site_fract_y
_atom_site_fract_z
Mg1 0.000 0.000 0.000
Ta1 0.000 0.500 0.000
Zn1 0.500 0.500 0.500
P1 0.000 0.000 0.500
# DFT formation energy	1.920	eV per atom
# density of states at the Fermi level	4.70	states/eV/f.u.
# crystal system	tetragonal

=====

[11]
# Os5W (meta-GGA SCAN, PBEsol geometry)
data_Os5W
_chemical_formula_sum 'Os10 W2'
_symmetry_space_group_name_H-M 'A m m 2'
_symmetry_Int_Tables_number 38
_symmetry_space_group_name_Hall 'A 2 -2'
_cell_length_a 4.353
_cell_length_b 2.750
_cell_length_c 14.299
_cell_angle_alpha 90.00
_cell_angle_beta 90.00
_cell_angle_gamma 90.00
loop_
_atom_site_label
_atom_site_fract_x
_atom_site_fract_y
_atom_site_fract_z
Os1 0.000 0.000 0.000
Os2 0.000 0.000 0.332
Os3 0.000 0.000 0.667
Os4 0.500 0.000 0.219
Os5 0.500 0.000 0.556
W1 0.500 0.000 0.889
# excess energy over the best structure of this formula in the dataset	0.57	kcal/mol of atoms
# DFT formation energy	-0.013	eV per atom
# density of states at the Fermi level	3.74	states/eV/f.u.
# crystal system	orthorhombic

=====

[12]
# Li2SeO4 (meta-GGA SCAN, PBEsol geometry)
data_Li2SeO4
_chemical_formula_sum 'Li36 Se18 O72'
_symmetry_space_group_name_H-M 'R -3'
_symmetry_Int_Tables_number 148
_symmetry_space_group_name_Hall '-R 3'
_cell_length_a 12.7824
_cell_length_b 12.7824
_cell_length_c 11.8539
_cell_angle_alpha 90.00
_cell_angle_beta 90.00
_cell_angle_gamma 120.00
loop_
_atom_site_label
_atom_site_fract_x
_atom_site_fract_y
_atom_site_fract_z
Li1 0.0079 0.7967 0.1178
Li2 0.0586 0.8286 0.4150
Se1 0.0738 0.5870 0.3444
O1 0.0060 0.1911 0.4329
O2 0.0061 0.2817 0.2268
O3 0.0377 0.1827 0.7252
O4 0.0661 0.5212 0.6850
# formation energy (no corrections)	-1.506	eV/atom
# density of states at the Fermi level	0.00	states/eV/f.u.
# crystal system	trigonal